# 1
Entry from Alexandria via LeMat-Bulk: a relaxed CaCd2Cl6 crystal (PBE).

Values from the calculation:
For the calculated total energy, the calculation gives -84.79 eV/cell. The size of the total moment comes out at 0.0 μB per cell. For the formation energy (no corrections), the calculation gives -1.484 eV per atom. The calculation puts the distance to the lowest polymorph of the same formula at 0 meV/atom.

Geometry as CIF:
```
data_CaCd2Cl6
_chemical_formula_sum 'Ca3 Cd6 Cl18'
_cell_length_a 6.8118
_cell_length_b 6.8118
_cell_length_c 18.5143
_cell_angle_alpha 90.00
_cell_angle_beta 90.00
_cell_angle_gamma 120.00
_space_group_name_H-M_alt 'R 3'
_space_group_IT_number 146
_space_group_name_Hall 'R 3'
loop_
_atom_site_label
_atom_site_type_symbol
_atom_site_fract_x
_atom_site_fract_y
_atom_site_fract_z
Ca1 Ca 0.0000 0.0000 0.0000
Cd1 Cd 0.0000 0.0000 0.4968
Cd2 Cd 0.0000 0.0000 0.6877
Cl1 Cl 0.0050 0.7019 0.5932
Cl2 Cl 0.0086 0.3399 0.7592
```

# 2
Entry from Alexandria via LeMat-Bulk: a relaxed CaCdCl crystal (PBE).

Values from the calculation:
For the calculated total energy, the calculation gives -7.46 eV/cell. The size of the total moment comes out at 0.0 μB per cell. For the formation energy (no corrections), the calculation gives -0.898 eV per atom. The calculation puts the distance to the lowest polymorph of the same formula at 143 meV/atom.

Geometry as CIF:
```
data_CaCdCl
_chemical_formula_sum 'Ca1 Cd1 Cl1'
_cell_length_a 4.7723
_cell_length_b 4.7723
_cell_length_c 4.6290
_cell_angle_alpha 90.00
_cell_angle_beta 90.00
_cell_angle_gamma 120.00
_space_group_name_H-M_alt 'P -6 m 2'
_space_group_IT_number 187
_space_group_name_Hall 'P -6 2'
loop_
_atom_site_label
_atom_site_type_symbol
_atom_site_fract_x
_atom_site_fract_y
_atom_site_fract_z
Ca1 Ca 0.0000 0.0000 0.0000
Cd1 Cd 0.3333 0.6667 0.5000
Cl1 Cl 0.6667 0.3333 0.0000
```

# 3
Entry from Alexandria via LeMat-Bulk: a relaxed Ca2Cd2Cl crystal (PBE).

Values from the calculation:
For the calculated total energy, the calculation gives -22.35 eV/cell. The size of the total moment comes out at 0.0 μB per cell. For the formation energy (no corrections), the calculation gives -0.699 eV per atom. The calculation puts the distance to the lowest polymorph of the same formula at 0 meV/atom.

Geometry as CIF:
```
data_Ca2Cd2Cl
_chemical_formula_sum 'Ca4 Cd4 Cl2'
_cell_length_a 7.685
_cell_length_b 7.685
_cell_length_c 5.127
_cell_angle_alpha 90.00
_cell_angle_beta 90.00
_cell_angle_gamma 90.00
_space_group_name_H-M_alt 'P 4/m b m'
_space_group_IT_number 127
_space_group_name_Hall '-P 4 2ab'
loop_
_atom_site_label
_atom_site_type_symbol
_atom_site_fract_x
_atom_site_fract_y
_atom_site_fract_z
Ca1 Ca 0.175 0.325 0.000
Cd1 Cd 0.131 0.631 0.500
Cl1 Cl 0.000 0.000 0.000
```

# 4
Entry from Alexandria via LeMat-Bulk: a relaxed Ca2Cd2Cl7 crystal (PBE).

Values from the calculation:
For the calculated total energy, the calculation gives -72.75 eV/cell. The size of the total moment comes out at 1.9 μB per cell. For the formation energy (no corrections), the calculation gives -1.601 eV per atom.

Geometry as CIF:
```
data_Ca2Cd2Cl7
_chemical_formula_sum 'Ca4 Cd4 Cl14'
_cell_length_a 7.974
_cell_length_b 11.417
_cell_length_c 7.640
_cell_angle_alpha 90.00
_cell_angle_beta 99.29
_cell_angle_gamma 90.00
_space_group_name_H-M_alt 'C 1 2/m 1'
_space_group_IT_number 12
loop_
_space_group_symop_operation_xyz
'x,y,z'
'-x,-y,-z'
'-x,y,-z'
'x,-y,z'
'x+1/2,y+1/2,z'
'-x+1/2,-y+1/2,-z'
'-x+1/2,y+1/2,-z'
'x+1/2,-y+1/2,z'
loop_
_atom_site_label
_atom_site_type_symbol
_atom_site_fract_x
_atom_site_fract_y
_atom_site_fract_z
Ca1 Ca 0.000 0.189 0.000
Cd1 Cd 0.195 0.000 0.559
Cl1 Cl 0.000 0.500 0.500
Cl2 Cl 0.137 0.000 0.194
Cl3 Cl 0.248 0.182 0.786
```